{
  "formula": "Li9Ag4",
  "functional": "GGA-PBEsol",
  "state": "relaxed",
  "lattice": [[8.221, 0.011, 0.020], [-2.746, 7.715, 0.035], [2.729, 3.856, 6.728]],
  "species": ["Li", "Li", "Li", "Li", "Li", "Li", "Li", "Li", "Li", "Li", "Li", "Li", "Li", "Li", "Li", "Li", "Li", "Li", "Ag", "Ag", "Ag", "Ag", "Ag", "Ag", "Ag", "Ag"],
  "fractional_positions": [[0.990, 0.228, 0.010], [0.762, 0.772, 0.238], [0.231, 0.000, 0.010], [0.990, 0.000, 0.769], [0.297, 0.639, 0.703], [0.010, 0.343, 0.295], [0.705, 0.343, 0.990], [0.658, 0.361, 0.342], [0.361, 0.657, 0.334], [0.666, 0.657, 0.639], [0.349, 0.000, 0.281], [0.632, 0.274, 0.715], [0.358, 0.726, 0.989], [0.719, 0.000, 0.651], [0.011, 0.726, 0.642], [0.285, 0.274, 0.368], [0.001, 0.664, 0.999], [0.337, 0.336, 0.663], [0.659, 0.000, 0.000], [0.000, 0.000, 0.341], [0.005, 0.361, 0.650], [0.350, 0.361, 0.995], [0.641, 0.000, 0.359], [0.989, 0.639, 0.356], [0.644, 0.639, 0.011], [0.348, 0.000, 0.652]],
  "final_energy_ha_per_atom": -0.09267,
  "total_magnetization_mub_per_cell": 0.00
}